DFT (GGA-PBE) results for an optimized crystal structure of CaEr2Zn2Ga2.

Unit cell a=9.527 b=9.527 c=9.527 alpha=27.24 beta=27.24 gamma=27.24
Element x y z (fractional)
Ca  0.000  0.000  0.000
Er  0.128  0.128  0.128
Er  0.872  0.872  0.872
Zn  0.408  0.408  0.408
Zn  0.592  0.592  0.592
Ga  0.255  0.255  0.255
Ga  0.745  0.745  0.745

=====

DFT (GGA-PBE) results for an optimized crystal structure of CaErZnGa.

Unit cell a=5.082 b=5.082 c=5.082 alpha=60.00 beta=60.00 gamma=60.00
Element x y z (fractional)
Ca  0.000  0.000  0.000
Er  0.500  0.500  0.500
Zn  0.250  0.250  0.250
Ga  0.750  0.750  0.750

=====

What did we get for uncorrected energy? Answer: -3.1953, -3.1276 eV per atom, in the order shown.
What did we get for M_tot? Answer: 0.000, 0.000 μB/f.u., in the order shown.
What did we get for E_form? Answer: -2.64, -1.65 eV/f.u., in the order shown.